(1)
First-principles (PBE) data for a relaxed structure of SmY2NpP4, as listed in Alexandria.

Results
As for the space-group type: P2/m, No. 10. The calculation puts the calculated formation energy at -1.4136 eV per atom.

The structure in CIF format:
```
data_SmY2NpP4
_symmetry_space_group_name_H-M 'P 1'
_symmetry_Int_Tables_number 1
_symmetry_space_group_name_Hall 'P 1'
_cell_length_a 4.015
_cell_length_b 6.968
_cell_length_c 6.956
_cell_angle_alpha 109.34
_cell_angle_beta 90.00
_cell_angle_gamma 90.00
loop_
_atom_site_label
_atom_site_type_symbol
_atom_site_fract_x
_atom_site_fract_y
_atom_site_fract_z
Y1 Y 0.000 0.500 0.500
Sm1 Sm 0.000 0.000 0.000
P1 P 0.000 0.743 0.247
P2 P 0.000 0.257 0.753
Np1 Np 0.500 0.500 0.000
Y2 Y 0.500 0.000 0.500
P3 P 0.500 0.743 0.750
P4 P 0.500 0.257 0.250
```

(2)
First-principles (PBE) data for a relaxed structure of CsCu3N, as listed in Alexandria.

Results
As for the space-group type: Pm-3m, No. 221. Its formation energy (no corrections) is 19.44 kcal/mol of atoms.

The structure in CIF format:
```
data_CsCu3N
_symmetry_space_group_name_H-M 'P 1'
_symmetry_Int_Tables_number 1
_symmetry_space_group_name_Hall 'P 1'
_cell_length_a 4.384
_cell_length_b 4.384
_cell_length_c 4.384
_cell_angle_alpha 90.00
_cell_angle_beta 90.00
_cell_angle_gamma 90.00
loop_
_atom_site_label
_atom_site_type_symbol
_atom_site_fract_x
_atom_site_fract_y
_atom_site_fract_z
N1 N 0.000 0.000 0.000
Cs1 Cs 0.500 0.500 0.500
Cu1 Cu 0.000 0.000 0.500
Cu2 Cu 0.000 0.500 0.000
Cu3 Cu 0.500 0.000 0.000
```

(3)
First-principles (PBE) data for a relaxed structure of LiTlS4, as listed in Alexandria.

Results
As for the space-group type: C2/c, No. 15. Its formation energy (no corrections) is -7.45 kcal/mol of atoms.

The structure in CIF format:
```
data_LiTlS4
_symmetry_space_group_name_H-M 'P 1'
_symmetry_Int_Tables_number 1
_symmetry_space_group_name_Hall 'P 1'
_cell_length_a 9.126
_cell_length_b 7.377
_cell_length_c 7.380
_cell_angle_alpha 100.57
_cell_angle_beta 118.47
_cell_angle_gamma 118.47
loop_
_atom_site_label
_atom_site_type_symbol
_atom_site_fract_x
_atom_site_fract_y
_atom_site_fract_z
Tl1 Tl 0.250 0.362 0.638
S1 S 0.236 0.799 0.724
S2 S 0.522 0.877 0.182
S3 S 0.478 0.123 0.818
S4 S 0.022 0.182 0.877
Tl2 Tl 0.750 0.638 0.362
S5 S 0.736 0.724 0.799
Li1 Li 0.250 0.929 0.071
S6 S 0.764 0.201 0.276
Li2 Li 0.750 0.071 0.929
S7 S 0.978 0.818 0.123
S8 S 0.264 0.276 0.201
```

(4)
First-principles (PBE) data for a relaxed structure of TbTlCuSe2, as listed in Alexandria.

Results
As for the space-group type: P2/c, No. 13. Its formation energy (no corrections) is -16.68 kcal/mol of atoms.

The structure in CIF format:
```
data_TbTlCuSe2
_symmetry_space_group_name_H-M 'P 1'
_symmetry_Int_Tables_number 1
_symmetry_space_group_name_Hall 'P 1'
_cell_length_a 5.811
_cell_length_b 6.628
_cell_length_c 7.771
_cell_angle_alpha 104.61
_cell_angle_beta 90.00
_cell_angle_gamma 90.00
loop_
_atom_site_label
_atom_site_type_symbol
_atom_site_fract_x
_atom_site_fract_y
_atom_site_fract_z
Se1 Se 0.714 0.250 0.568
Tb1 Tb 0.475 0.000 0.750
Se2 Se 0.714 0.750 0.932
Tb2 Tb 0.525 0.000 0.250
Se3 Se 0.286 0.750 0.432
Cu1 Cu 0.000 0.000 0.000
Cu2 Cu 0.000 0.000 0.500
Tl1 Tl 0.798 0.500 0.250
Tl2 Tl 0.202 0.500 0.750
Se4 Se 0.286 0.250 0.068
```

(5)
First-principles (PBE) data for a relaxed structure of Cd3Ge5Te12, as listed in Alexandria.

Results
As for the space-group type: Ia-3d, No. 230. Its formation energy (no corrections) is 1.09 kcal/mol of atoms.

The structure in CIF format:
```
data_Cd3Ge5Te12
_symmetry_space_group_name_H-M 'P 1'
_symmetry_Int_Tables_number 1
_symmetry_space_group_name_Hall 'P 1'
_cell_length_a 14.996
_cell_length_b 14.996
_cell_length_c 14.996
_cell_angle_alpha 109.47
_cell_angle_beta 109.47
_cell_angle_gamma 109.47
loop_
_atom_site_label
_atom_site_type_symbol
_atom_site_fract_x
_atom_site_fract_y
_atom_site_fract_z
Cd1 Cd 0.250 0.625 0.875
Te1 Te 0.678 0.217 0.587
Te2 Te 0.910 0.822 0.539
Te3 Te 0.910 0.087 0.870
Ge1 Ge 0.000 0.000 0.500
Cd2 Cd 0.625 0.250 0.375
Ge2 Ge 0.750 0.125 0.875
Te4 Te 0.322 0.783 0.413
Cd3 Cd 0.875 0.750 0.125
Te5 Te 0.783 0.461 0.370
Ge3 Ge 0.875 0.625 0.750
Cd4 Cd 0.125 0.875 0.750
Te6 Te 0.413 0.130 0.590
Te7 Te 0.090 0.178 0.461
Te8 Te 0.370 0.410 0.087
Ge4 Ge 0.250 0.875 0.125
Te9 Te 0.630 0.590 0.913
Te10 Te 0.410 0.039 0.322
Cd5 Cd 0.375 0.625 0.250
Cd6 Cd 0.375 0.750 0.625
Te11 Te 0.961 0.370 0.283
Te12 Te 0.717 0.587 0.178
Ge5 Ge 0.375 0.125 0.750
Te13 Te 0.913 0.090 0.630
Ge6 Ge 0.500 0.500 0.500
Ge7 Ge 0.875 0.250 0.625
Te14 Te 0.130 0.413 0.090
Te15 Te 0.217 0.678 0.087
Cd7 Cd 0.875 0.125 0.250
Te16 Te 0.283 0.870 0.961
Cd8 Cd 0.750 0.875 0.625
Te17 Te 0.461 0.678 0.090
Ge8 Ge 0.500 0.000 0.000
Te18 Te 0.587 0.717 0.678
Te19 Te 0.870 0.283 0.461
Ge9 Ge 0.000 0.500 0.500
Ge10 Ge 0.250 0.375 0.625
Te20 Te 0.178 0.087 0.717
Cd9 Cd 0.250 0.125 0.375
Te21 Te 0.283 0.413 0.822
Ge11 Ge 0.500 0.000 0.500
Te22 Te 0.217 0.539 0.630
Te23 Te 0.783 0.322 0.913
Te24 Te 0.822 0.910 0.039
Te25 Te 0.590 0.630 0.413
Te26 Te 0.039 0.410 0.822
Ge12 Ge 0.500 0.500 0.000
Te27 Te 0.590 0.961 0.678
Te28 Te 0.870 0.587 0.910
Ge13 Ge 0.625 0.875 0.250
Te29 Te 0.461 0.783 0.870
Te30 Te 0.630 0.039 0.217
Ge14 Ge 0.375 0.250 0.125
Te31 Te 0.090 0.913 0.130
Ge15 Ge 0.000 0.000 0.000
Te32 Te 0.539 0.322 0.910
Te33 Te 0.087 0.178 0.217
Ge16 Ge 0.125 0.750 0.375
Te34 Te 0.539 0.217 0.130
Te35 Te 0.178 0.090 0.961
Ge17 Ge 0.125 0.375 0.250
Te36 Te 0.961 0.590 0.178
Cd10 Cd 0.625 0.375 0.750
Cd11 Cd 0.125 0.250 0.875
Ge18 Ge 0.000 0.500 0.000
Ge19 Ge 0.750 0.625 0.375
Te37 Te 0.678 0.461 0.590
Te38 Te 0.822 0.913 0.283
Te39 Te 0.370 0.961 0.783
Ge20 Ge 0.625 0.750 0.875
Te40 Te 0.039 0.630 0.717
Te41 Te 0.130 0.717 0.539
Te42 Te 0.913 0.822 0.783
Te43 Te 0.322 0.539 0.410
Te44 Te 0.717 0.130 0.039
Te45 Te 0.587 0.870 0.410
Te46 Te 0.087 0.910 0.370
Te47 Te 0.413 0.283 0.322
Te48 Te 0.410 0.370 0.587
Cd12 Cd 0.750 0.375 0.125
```

(6)
First-principles (PBE) data for a relaxed structure of LaEr3Te4, as listed in Alexandria.

Results
As for the space-group type: Amm2, No. 38. Its formation energy (no corrections) is -29.98 kcal/mol of atoms.

The structure in CIF format:
```
data_LaEr3Te4
_symmetry_space_group_name_H-M 'P 1'
_symmetry_Int_Tables_number 1
_symmetry_space_group_name_Hall 'P 1'
_cell_length_a 4.310
_cell_length_b 7.645
_cell_length_c 7.644
_cell_angle_alpha 71.47
_cell_angle_beta 90.00
_cell_angle_gamma 90.00
loop_
_atom_site_label
_atom_site_type_symbol
_atom_site_fract_x
_atom_site_fract_y
_atom_site_fract_z
Te1 Te 0.500 0.243 0.743
Te2 Te 0.500 0.756 0.256
Er1 Er 0.500 0.000 0.500
Te3 Te 0.000 0.764 0.737
La1 La 0.500 0.500 0.000
Er2 Er 0.000 0.500 0.501
Er3 Er 0.000 0.000 0.000
Te4 Te 0.000 0.237 0.263
```

(7)
First-principles (PBE) data for a relaxed structure of Pm2Nd2Ga, as listed in Alexandria.

Results
As for the space-group type: C2/m, No. 12. The calculation puts the calculated formation energy at -0.1537 eV per atom.

The structure in CIF format:
```
data_Pm2Nd2Ga
_symmetry_space_group_name_H-M 'P 1'
_symmetry_Int_Tables_number 1
_symmetry_space_group_name_Hall 'P 1'
_cell_length_a 8.427
_cell_length_b 6.479
_cell_length_c 8.958
_cell_angle_alpha 69.00
_cell_angle_beta 56.56
_cell_angle_gamma 49.44
loop_
_atom_site_label
_atom_site_type_symbol
_atom_site_fract_x
_atom_site_fract_y
_atom_site_fract_z
Pm1 Pm 0.752 0.000 0.403
Pm2 Pm 0.606 0.000 0.120
Pm3 Pm 0.248 0.000 0.597
Nd1 Nd 0.651 0.382 0.731
Nd2 Nd 0.967 0.382 0.269
Nd3 Nd 0.349 0.618 0.269
Nd4 Nd 0.033 0.618 0.731
Ga1 Ga 0.855 0.291 0.000
Ga2 Ga 0.145 0.709 0.000
Pm4 Pm 0.394 0.000 0.880
```

(8)
First-principles (PBE) data for a relaxed structure of Ti6Bi2O, as listed in Alexandria.

Results
As for the space-group type: C2/m, No. 12. Its formation energy (no corrections) is -15.54 kcal/mol of atoms.

The structure in CIF format:
```
data_Ti6Bi2O
_symmetry_space_group_name_H-M 'P 1'
_symmetry_Int_Tables_number 1
_symmetry_space_group_name_Hall 'P 1'
_cell_length_a 4.837
_cell_length_b 6.043
_cell_length_c 6.043
_cell_angle_alpha 59.91
_cell_angle_beta 89.94
_cell_angle_gamma 89.94
loop_
_atom_site_label
_atom_site_type_symbol
_atom_site_fract_x
_atom_site_fract_y
_atom_site_fract_z
Ti1 Ti 0.264 0.320 0.839
Ti2 Ti 0.736 0.160 0.160
Ti3 Ti 0.736 0.680 0.161
Bi1 Bi 0.760 0.667 0.667
Ti4 Ti 0.264 0.839 0.320
Ti5 Ti 0.264 0.840 0.840
Bi2 Bi 0.240 0.333 0.333
Ti6 Ti 0.736 0.161 0.680
O1 O 0.000 0.000 0.000
```

(9)
First-principles (PBE) data for a relaxed structure of SrDy5Bi6, as listed in Alexandria.

Results
As for the space-group type: C2/m, No. 12. The calculation puts the calculated formation energy at -0.8298 eV per atom.

The structure in CIF format:
```
data_SrDy5Bi6
_symmetry_space_group_name_H-M 'P 1'
_symmetry_Int_Tables_number 1
_symmetry_space_group_name_Hall 'P 1'
_cell_length_a 7.845
_cell_length_b 7.845
_cell_length_c 7.870
_cell_angle_alpha 99.58
_cell_angle_beta 99.58
_cell_angle_gamma 120.09
loop_
_atom_site_label
_atom_site_type_symbol
_atom_site_fract_x
_atom_site_fract_y
_atom_site_fract_z
Sr1 Sr 0.000 0.000 0.000
Dy1 Dy 0.500 0.500 0.500
Bi1 Bi 0.913 0.569 0.742
Bi2 Bi 0.569 0.913 0.742
Dy2 Dy 0.669 0.331 0.000
Bi3 Bi 0.739 0.739 0.253
Bi4 Bi 0.431 0.087 0.258
Bi5 Bi 0.087 0.431 0.258
Dy3 Dy 0.331 0.669 0.000
Dy4 Dy 0.838 0.162 0.500
Bi6 Bi 0.261 0.261 0.747
Dy5 Dy 0.162 0.838 0.500
```

(10)
First-principles (PBE) data for a relaxed structure of Ti2Ni21B6, as listed in Alexandria.

Results
As for the space-group type: Fm-3m, No. 225. The calculation puts the calculated formation energy at -0.3648 eV per atom.

The structure in CIF format:
```
data_Ti2Ni21B6
_symmetry_space_group_name_H-M 'P 1'
_symmetry_Int_Tables_number 1
_symmetry_space_group_name_Hall 'P 1'
_cell_length_a 7.419
_cell_length_b 7.419
_cell_length_c 7.419
_cell_angle_alpha 60.00
_cell_angle_beta 60.00
_cell_angle_gamma 60.00
loop_
_atom_site_label
_atom_site_type_symbol
_atom_site_fract_x
_atom_site_fract_y
_atom_site_fract_z
Ni1 Ni 0.660 0.000 0.340
Ni2 Ni 0.000 0.340 0.660
Ni3 Ni 0.383 0.383 0.383
Ni4 Ni 0.660 0.340 0.000
Ni5 Ni 0.340 0.660 0.000
B1 B 0.731 0.731 0.269
Ni6 Ni 0.617 0.617 0.149
Ni7 Ni 0.000 0.000 0.000
Ni8 Ni 0.000 0.000 0.660
B2 B 0.269 0.269 0.731
B3 B 0.731 0.269 0.269
Ni9 Ni 0.000 0.000 0.340
Ni10 Ni 0.000 0.660 0.000
Ni11 Ni 0.000 0.660 0.340
Ni12 Ni 0.851 0.383 0.383
B4 B 0.269 0.731 0.269
B5 B 0.731 0.269 0.731
Ni13 Ni 0.660 0.000 0.000
Ti1 Ti 0.750 0.750 0.750
Ni14 Ni 0.149 0.617 0.617
Ni15 Ni 0.340 0.000 0.660
Ni16 Ni 0.617 0.149 0.617
Ni17 Ni 0.340 0.000 0.000
Ni18 Ni 0.000 0.340 0.000
Ti2 Ti 0.250 0.250 0.250
Ni19 Ni 0.383 0.851 0.383
Ni20 Ni 0.617 0.617 0.617
Ni21 Ni 0.383 0.383 0.851
B6 B 0.269 0.731 0.731
```

(11)
First-principles (PBE) data for a relaxed structure of MgTa2Au, as listed in Alexandria.

Results
As for the space-group type: Cmmm, No. 65. The calculation puts the calculated formation energy at 0.1495 eV per atom.

The structure in CIF format:
```
data_MgTa2Au
_symmetry_space_group_name_H-M 'P 1'
_symmetry_Int_Tables_number 1
_symmetry_space_group_name_Hall 'P 1'
_cell_length_a 5.350
_cell_length_b 5.350
_cell_length_c 2.846
_cell_angle_alpha 90.00
_cell_angle_beta 90.00
_cell_angle_gamma 117.54
loop_
_atom_site_label
_atom_site_type_symbol
_atom_site_fract_x
_atom_site_fract_y
_atom_site_fract_z
Ta1 Ta 0.000 0.000 0.000
Au1 Au 0.500 0.000 0.500
Ta2 Ta 0.500 0.500 0.000
Mg1 Mg 0.000 0.500 0.500
```

(12)
First-principles (PBE) data for a relaxed structure of Li2US3, as listed in Alexandria.

Results
As for the space-group type: Cmcm, No. 63. Its formation energy (no corrections) is -26.19 kcal/mol of atoms.

The structure in CIF format:
```
data_Li2US3
_symmetry_space_group_name_H-M 'P 1'
_symmetry_Int_Tables_number 1
_symmetry_space_group_name_Hall 'P 1'
_cell_length_a 4.362
_cell_length_b 7.515
_cell_length_c 7.515
_cell_angle_alpha 114.13
_cell_angle_beta 90.00
_cell_angle_gamma 90.00
loop_
_atom_site_label
_atom_site_type_symbol
_atom_site_fract_x
_atom_site_fract_y
_atom_site_fract_z
S1 S 0.250 0.892 0.108
Li1 Li 0.000 0.800 0.800
S2 S 0.750 0.161 0.463
S3 S 0.250 0.839 0.537
Li2 Li 0.500 0.800 0.800
U1 U 0.250 0.249 0.751
Li3 Li 0.000 0.200 0.200
S4 S 0.750 0.537 0.839
U2 U 0.750 0.751 0.249
S5 S 0.250 0.463 0.161
S6 S 0.750 0.108 0.892
Li4 Li 0.500 0.200 0.200
```